Compound: Th2InBi4
Source: Alexandria
Functional: GGA-PBE
Structure: optimized geometry

a = 7.1903 Å, b = 7.1903 Å, c = 6.7205 Å
α = 122.20°, β = 122.20°, γ = 90.41°
Fractional coordinates of all 7 atoms:
Bi (0.7857, 0.2857, 0.0714)
Bi (0.2857, 0.7857, 0.0714)
Th (0.2858, 0.7856, 0.5714)
Th (0.7856, 0.2858, 0.5714)
In (0.7857, 0.7857, 0.5715)
Bi (0.2856, 0.2856, 0.0712)
Bi (0.7859, 0.7859, 0.0717)

Computed properties:
The value obtained for the formation energy is -0.34 eV/atom. The calculation puts the calculated total energy at -5.0715 eV per atom. The crystal system is monoclinic.

---

Compound: ThInBi
Source: Alexandria
Functional: GGA-PBE
Structure: optimized geometry

a = 5.1008 Å, b = 5.1008 Å, c = 9.1382 Å
α = 90.00°, β = 90.00°, γ = 120.00°
Fractional coordinates of all 6 atoms:
Bi (0.6667, 0.3333, 0.6510)
Bi (0.3333, 0.6667, 0.3490)
In (0.3333, 0.6667, 0.9916)
Th (0.0000, 0.0000, 0.2111)
Th (0.0000, 0.0000, 0.7889)
In (0.6667, 0.3333, 0.0084)

Computed properties:
The value obtained for the formation energy is -0.16 eV/atom. The calculation puts the calculated total energy at -4.8441 eV per atom. The crystal system is trigonal.

---

Compound: Ti7In2Bi2
Source: Alexandria
Functional: GGA-PBE
Structure: optimized geometry

a = 6.8051 Å, b = 5.3472 Å, c = 6.8051 Å
α = 76.74°, β = 103.37°, γ = 103.26°
Fractional coordinates of all 11 atoms:
Bi (0.2555, 0.8284, 0.7445)
Bi (0.7445, 0.1716, 0.2555)
Ti (0.5019, 0.2715, 0.4981)
Ti (0.9290, 0.7156, 0.3930)
Ti (0.4981, 0.7285, 0.5019)
In (0.1920, 0.5000, 0.1920)
Ti (0.0710, 0.2844, 0.6070)
Ti (0.3930, 0.2844, 0.9290)
In (0.8080, 0.5000, 0.8080)
Ti (0.6070, 0.7156, 0.0710)
Ti (0.0000, 0.0000, 0.0000)

Computed properties:
The value obtained for the formation energy is 0.16 eV/atom. The calculation puts the calculated total energy at -6.0661 eV per atom. The crystal system is monoclinic.

---

Compound: TiInBi
Source: Alexandria
Functional: GGA-PBE
Structure: optimized geometry

a = 3.7152 Å, b = 3.7152 Å, c = 5.6804 Å
α = 109.09°, β = 109.09°, γ = 90.00°
Fractional coordinates of all 3 atoms:
Bi (0.3176, 0.3176, 0.6353)
Ti (0.6711, 0.6711, 0.3422)
In (0.0113, 0.0113, 0.0226)

Computed properties:
The value obtained for the formation energy is 0.05 eV/atom. The calculation puts the calculated total energy at -4.7868 eV per atom. The crystal system is tetragonal.

---

Compound: TiIn3Bi
Source: Alexandria
Functional: GGA-PBE
Structure: optimized geometry

a = 5.3798 Å, b = 5.3798 Å, c = 5.3798 Å
α = 90.00°, β = 90.00°, γ = 90.00°
Fractional coordinates of all 5 atoms:
Bi (0.5000, 0.5000, 0.5000)
In (0.0000, 0.0000, 0.5000)
Ti (0.0000, 0.0000, 0.0000)
In (0.0000, 0.5000, 0.0000)
In (0.5000, 0.0000, 0.0000)

Computed properties:
The value obtained for the formation energy is 0.49 eV/atom. The calculation puts the calculated total energy at -3.5053 eV per atom. The crystal system is cubic.

---

Compound: Ti12In3Bi
Source: Alexandria
Functional: GGA-PBE
Structure: optimized geometry

a = 5.2571 Å, b = 5.2604 Å, c = 10.5316 Å
α = 90.00°, β = 90.00°, γ = 90.00°
Fractional coordinates of all 16 atoms:
Bi (0.0000, 0.0000, 0.5000)
Ti (0.2495, 0.5000, 0.0000)
Ti (0.7451, 0.5000, 0.5000)
Ti (0.7505, 0.5000, 0.0000)
In (0.0000, 0.0000, 0.0000)
Ti (0.5000, 0.0000, 0.3706)
Ti (0.5000, 0.0000, 0.8775)
Ti (0.5000, 0.0000, 0.6294)
In (0.5000, 0.5000, 0.2503)
Ti (0.0000, 0.7486, 0.2473)
Ti (0.0000, 0.2514, 0.7527)
Ti (0.0000, 0.7486, 0.7527)
Ti (0.2549, 0.5000, 0.5000)
Ti (0.0000, 0.2514, 0.2473)
In (0.5000, 0.5000, 0.7497)
Ti (0.5000, 0.0000, 0.1225)

Computed properties:
The value obtained for the formation energy is -0.12 eV/atom. The calculation puts the calculated total energy at -6.7950 eV per atom. The crystal system is orthorhombic.

---

Which of these has the lowest formation energy?
Th2InBi4